1) Here is a geometry-optimized RbHfBi structure from OQMD via LeMat-Bulk. Energies are from PBE.

Structure (POSCAR):
```
RbHfBi
1.0
3.104 -3.476 2.721
-2.221 -3.365 3.587
-0.285 -5.281 -1.071
Bi Hf Rb
1 1 1
direct
0.000 0.000 0.000 Bi
0.250 0.250 0.250 Hf
0.750 0.750 0.750 Rb
```

2) Here is a geometry-optimized RbHfBi structure from OQMD via LeMat-Bulk. Energies are from PBE.

Structure (POSCAR):
```
RbHfBi
1.0
0.000 3.820 3.820
3.820 0.000 3.820
3.820 3.820 0.000
Bi Hf Rb
1 1 1
direct
0.250 0.250 0.250 Bi
0.750 0.750 0.750 Hf
0.000 0.000 0.000 Rb
```

Relative calculated energies, zero for the most stable structure, unit eV/atom: 1) 0.000; 2) 0.668.

1) Here is a geometry-optimized SrHfBi structure from OQMD via LeMat-Bulk. Energies are from PBE.

Structure (POSCAR):
```
SrHfBi
1.0
1.435 -4.714 -2.143
-3.248 -2.458 -3.506
1.371 -0.287 -5.188
Bi Hf Sr
1 1 1
direct
0.250 0.250 0.250 Bi
0.750 0.750 0.750 Hf
0.000 0.000 0.000 Sr
```

2) Here is a geometry-optimized SrHfBi structure from OQMD via LeMat-Bulk. Energies are from PBE.

Structure (POSCAR):
```
SrHfBi
1.0
1.799 0.490 4.942
-2.357 3.335 3.350
-2.835 -1.879 4.041
Bi Hf Sr
1 1 1
direct
0.250 0.250 0.250 Bi
0.000 0.000 0.000 Hf
0.750 0.750 0.750 Sr
```

Relative calculated energies, zero for the most stable structure, unit eV/atom: 1) 0.358; 2) 0.000.

1) Here is a geometry-optimized HgBi2 structure from OQMD via LeMat-Bulk. Energies are from PBE.

Structure (POSCAR):
```
HgBi2
1.0
2.300 -2.364 -5.208
-5.672 -2.371 0.446
-0.794 6.098 0.428
Bi Hg
4 2
direct
0.352 0.500 0.148 Bi
0.852 0.204 0.352 Bi
0.148 0.796 0.648 Bi
0.648 0.500 0.852 Bi
0.250 0.000 0.250 Hg
0.750 0.000 0.750 Hg
```

2) Here is a geometry-optimized HgBi2 structure from OQMD via LeMat-Bulk. Energies are from PBE.

Structure (POSCAR):
```
HgBi2
1.0
-3.975 -1.510 -1.261
2.451 -5.479 -1.163
0.183 -0.129 7.378
Bi Hg
4 2
direct
0.537 0.764 0.073 Bi
0.129 0.305 0.257 Bi
0.871 0.695 0.743 Bi
0.463 0.236 0.927 Bi
0.219 0.818 0.439 Hg
0.781 0.182 0.561 Hg
```

3) Here is a geometry-optimized HgBi2 structure from OQMD via LeMat-Bulk. Energies are from PBE.

Structure (POSCAR):
```
HgBi2
1.0
-4.284 -2.400 5.990
3.063 -6.159 -0.277
2.451 1.120 2.201
Bi Hg
4 2
direct
0.141 0.344 0.000 Bi
0.859 0.656 0.000 Bi
0.641 0.156 0.500 Bi
0.359 0.844 0.500 Bi
0.500 0.500 0.000 Hg
0.000 0.000 0.500 Hg
```

4) Here is a geometry-optimized HgBi2 structure from OQMD via LeMat-Bulk. Energies are from PBE.

Structure (POSCAR):
```
HgBi2
1.0
0.000 4.608 4.608
4.608 0.000 4.608
4.608 4.608 0.000
Bi Hg
4 2
direct
0.625 0.625 0.125 Bi
0.625 0.125 0.625 Bi
0.125 0.625 0.625 Bi
0.625 0.625 0.625 Bi
0.000 0.000 0.000 Hg
0.250 0.250 0.250 Hg
```

Relative calculated energies, zero for the most stable structure, unit eV/atom: 1) 0.079; 2) 0.000; 3) 0.033; 4) 0.059.

1) Here is a geometry-optimized Hg2Bi structure from OQMD via LeMat-Bulk. Energies are from PBE.

Structure (POSCAR):
```
Hg2Bi
1.0
-0.268 -6.073 0.385
0.704 -2.744 5.393
-4.760 -2.673 2.702
Bi Hg
2 4
direct
0.000 0.000 0.000 Bi
0.250 0.250 0.250 Bi
0.625 0.625 0.125 Hg
0.625 0.125 0.625 Hg
0.125 0.625 0.625 Hg
0.625 0.625 0.625 Hg
```

2) Here is a geometry-optimized Hg2Bi structure from OQMD via LeMat-Bulk. Energies are from PBE.

Structure (POSCAR):
```
Hg2Bi
1.0
0.000 3.622 3.622
3.622 0.000 3.622
3.622 3.622 0.000
Bi Hg
1 2
direct
0.000 0.000 0.000 Bi
0.250 0.250 0.250 Hg
0.750 0.750 0.750 Hg
```

Relative calculated energies, zero for the most stable structure, unit eV/atom: 1) 0.075; 2) 0.000.